Below is a relaxed structure of Si2Pb2Au, with properties calculated at the PBE level.

Raw formation energy: 0.96 eV/f.u.
Energy above the most stable polymorph in this dataset: 46 meV/atom
ρ: 9.7 g/cm3

POSCAR file:
```
Si2Pb2Au
1.0
-1.7658 1.7658 9.1767
1.7658 -1.7658 9.1767
1.7658 1.7658 -9.1767
Si Pb Au
2 2 1
direct
0.2500 0.7500 0.5000
0.7500 0.2500 0.5000
0.1038 0.1038 0.0000
0.8962 0.8962 0.0000
0.5000 0.5000 0.0000
```